# 1
# BeFeBr3

An optimized crystal structure of BeFeBr3 (PBE-GGA, Alexandria via LeMat-Bulk).

The structure belongs to space group Pm-3m (No. 221); the cell edges are 5.111, 5.111 and 5.111 Å and the angles 90.00°, 90.00° and 90.00°. The inequivalent atoms are Be at (0.000, 0.000, 0.000), Fe at (0.500, 0.500, 0.500) and Br at (0.000, 0.500, 0.500).

The value obtained for the energy above the most stable polymorph in this dataset is 184 meV/atom. As for the crystal system: cubic.

# 2
# LiTa3Ti

An optimized crystal structure of LiTa3Ti (PBE-GGA, Alexandria via LeMat-Bulk).

The structure belongs to space group Pm-3m (No. 221); the cell edges are 4.433, 4.433 and 4.433 Å and the angles 90.00°, 90.00° and 90.00°. The inequivalent atoms are Li at (0.000, 0.000, 0.000), Ta at (0.000, 0.000, 0.500) and Ti at (0.500, 0.500, 0.500).

The value obtained for the energy above the most stable polymorph in this dataset is 0 meV/atom. The formation enthalpy at 0 K is 1086.1 meV/atom. As for the crystal system: cubic.

# 3
# La2Dy2ErTm2

An optimized crystal structure of La2Dy2ErTm2 (PBE-GGA, Alexandria via LeMat-Bulk).

The structure belongs to space group C2/m (No. 12); the cell edges are 17.694, 3.473 and 8.535 Å and the angles 90.00°, 116.96° and 90.00°. The inequivalent atoms are La at (0.148, 0.000, 0.379), Dy at (0.069, 0.000, 0.901), Er at (0.000, 0.500, 0.500) and Tm at (0.211, 0.500, 0.802).

The formation enthalpy at 0 K is 150.0 meV/atom. As for the crystal system: monoclinic.

# 4
# La4PmNd2Sm

An optimized crystal structure of La4PmNd2Sm (PBE-GGA, Alexandria via LeMat-Bulk).

The structure belongs to space group P2/m (No. 10); the cell edges are 5.251, 5.277 and 10.336 Å and the angles 90.00°, 90.12° and 90.00°. The inequivalent atoms are La at (0.000, 0.000, 0.250), La at (0.500, 0.500, 0.250), Pm at (0.000, 0.500, 0.000), Nd at (0.000, 0.500, 0.500), Nd at (0.500, 0.000, 0.000) and Sm at (0.500, 0.000, 0.500).

The formation enthalpy at 0 K is 13.3 meV/atom. As for the crystal system: monoclinic.

# 5
# TbLuTl

An optimized crystal structure of TbLuTl (PBE-GGA, Alexandria via LeMat-Bulk).

The structure belongs to space group F-43m (No. 216); the cell edges are 7.273, 7.273 and 7.273 Å and the angles 90.00°, 90.00° and 90.00°. The inequivalent atoms are Tb at (0.000, 0.000, 0.000), Lu at (0.000, 0.000, 0.500) and Tl at (0.250, 0.250, 0.250).

The formation enthalpy at 0 K is -24.9 meV/atom. As for the crystal system: cubic.

# 6
# CaCdS2

An optimized crystal structure of CaCdS2 (PBE-GGA, Alexandria via LeMat-Bulk).

The structure belongs to space group R-3m (No. 166, hexagonal axes); the cell edges are 3.9954, 3.9954 and 19.1153 Å and the angles 90.00°, 90.00° and 120.00°. The inequivalent atoms are Ca at (0.0000, 0.0000, 0.0000), Cd at (0.0000, 0.0000, 0.5000) and S at (0.0000, 0.0000, 0.2469).

As for the crystal system: trigonal. The total DFT energy (no corrections) comes out at -4.106 eV/atom.

# 7
# CsTlSe2Br

An optimized crystal structure of CsTlSe2Br (PBE-GGA, Alexandria via LeMat-Bulk).

The structure belongs to space group P4/mmm (No. 123); the cell edges are 5.846, 5.846 and 6.717 Å and the angles 90.00°, 90.00° and 90.00°. The inequivalent atoms are Cs at (0.000, 0.000, 0.000), Tl at (0.500, 0.500, 0.500), Se at (0.000, 0.500, 0.000) and Br at (0.000, 0.000, 0.500).

The value obtained for the energy above the most stable polymorph in this dataset is 682 meV/atom. As for the crystal system: tetragonal.

# 8
# Tb6YTm12

An optimized crystal structure of Tb6YTm12 (PBE-GGA, Alexandria via LeMat-Bulk).

The structure belongs to space group R-3m (No. 166, hexagonal axes); the cell edges are 15.0612, 15.0612 and 9.7439 Å and the angles 90.00°, 90.00° and 120.00°. The inequivalent atoms are Tb at (0.0501, 0.5251, 0.2037), Y at (0.0000, 0.0000, 0.0000), Tm at (0.0000, 0.3907, 0.5000) and Tm at (0.0711, 0.1422, 0.2903).

The value obtained for the energy above the most stable polymorph in this dataset is 328 meV/atom. The formation enthalpy at 0 K is 455.2 meV/atom. As for the crystal system: trigonal.

# 9
# Ba3NpO6

An optimized crystal structure of Ba3NpO6 (PBE-GGA, Alexandria via LeMat-Bulk).

The structure belongs to space group C2/m (No. 12); the cell edges are 11.005, 6.392 and 6.500 Å and the angles 90.00°, 123.81° and 90.00°. The inequivalent atoms are Ba at (0.000, 0.000, 0.000), Ba at (0.246, 0.000, 0.724), Np at (0.000, 0.500, 0.500), O at (0.067, 0.272, 0.352) and O at (0.210, 0.500, 0.823).

As for the crystal system: monoclinic. The total DFT energy (no corrections) comes out at -7.738 eV/atom.

# 10
# AgAsPt2

An optimized crystal structure of AgAsPt2 (PBE-GGA, Alexandria via LeMat-Bulk).

The structure belongs to space group Pmmm (No. 47); the cell edges are 2.854, 4.839 and 4.856 Å and the angles 90.00°, 90.00° and 90.00°. The inequivalent atoms are Ag at (0.000, 0.000, 0.000), As at (0.500, 0.000, 0.500), Pt at (0.000, 0.500, 0.500) and Pt at (0.500, 0.500, 0.000).

The formation enthalpy at 0 K is 97.3 meV/atom. As for the crystal system: orthorhombic.

# 11
# CeAlP2Rh5

An optimized crystal structure of CeAlP2Rh5 (PBE-GGA, Alexandria via LeMat-Bulk).

The structure belongs to space group P4/mmm (No. 123); the cell edges are 4.071, 4.071 and 9.528 Å and the angles 90.00°, 90.00° and 90.00°. The inequivalent atoms are Ce at (0.000, 0.000, 0.000), Al at (0.000, 0.000, 0.500), P at (0.500, 0.500, 0.238), Rh at (0.000, 0.500, 0.342) and Rh at (0.500, 0.500, 0.000).

The formation enthalpy at 0 K is -812.7 meV/atom. As for the crystal system: tetragonal.

# 12
# Ce8Hg3Ir4

An optimized crystal structure of Ce8Hg3Ir4 (PBE-GGA, Alexandria via LeMat-Bulk).

The structure belongs to space group C2/m (No. 12); the cell edges are 11.978, 11.989 and 8.209 Å and the angles 90.00°, 133.13° and 90.00°. The inequivalent atoms are Ce at (0.000, 0.233, 0.000), Ce at (0.000, 0.238, 0.500), Ce at (0.211, 0.000, 0.958), Ce at (0.230, 0.000, 0.477), Hg at (0.000, 0.500, 0.000), Hg at (0.250, 0.250, 0.000), Ir at (0.000, 0.000, 0.000), Ir at (0.000, 0.000, 0.500) and Ir at (0.250, 0.250, 0.500).

The formation enthalpy at 0 K is -354.2 meV/atom. As for the crystal system: monoclinic.